Computed, not measured: a relaxed structure of Al4VGa at the PBE-GGA level of DFT.

Calculated values
density	4.1	Mg/m³
N(E_F)	3.49	states/eV/f.u.
electronic total energy	-4.61	eV per atom
energy above the lowest structure with this stoichiometry	0.0	meV/atom
E_form	-0.0886	eV per atom

abc: 6.414 6.414 8.065
angles: 90.00 90.00 145.90
Positions (direct):
Al 0.002 0.998 0.500
Al 0.169 0.831 0.752
Al 0.318 0.682 0.500
Al 0.498 0.502 0.252
Al 0.502 0.498 0.752
Al 0.682 0.318 0.000
Al 0.831 0.169 0.252
Al 0.998 0.002 0.000
V 0.340 0.660 0.999
V 0.660 0.340 0.499
Ga 0.169 0.831 0.248
Ga 0.831 0.169 0.748